# Ac2ErIr3O12

An optimized crystal structure of Ac2ErIr3O12 (PBE, the Alexandria database).

Properties
Size of the total moment ... 0.00 Bohr magnetons per cell
V ... 13.37 Å³/atom
Uncorrected formation energy ... -1777 meV per atom

a b c (Å): 6.7675 6.7675 6.7675
angles (deg): 64.48 64.48 64.48
Atoms (fractional coordinates):
O: 0.2932 0.2932 0.8653
O: 0.1376 0.5898 0.1376
Ir: 0.0000 0.0000 0.5000
O: 0.7068 0.7068 0.1347
O: 0.5898 0.1376 0.1376
O: 0.8624 0.4102 0.8624
Ir: 0.5000 0.0000 0.0000
Er: 0.0000 0.0000 0.0000
O: 0.1347 0.7068 0.7068
Ac: 0.6169 0.6169 0.6169
O: 0.1376 0.1376 0.5898
O: 0.2932 0.8653 0.2932
O: 0.8653 0.2932 0.2932
Ac: 0.3831 0.3831 0.3831
O: 0.4102 0.8624 0.8624
O: 0.7068 0.1347 0.7068
Ir: 0.0000 0.5000 0.0000
O: 0.8624 0.8624 0.4102

***

# Cu3As

An optimized crystal structure of Cu3As (PBE, the Alexandria database).

Properties
Size of the total moment ... 0.00 Bohr magnetons per cell
V ... 24.02 Å³/atom
Formation energy ... 0.436 eV/atom

a b c (Å): 4.5801 4.5801 4.5801
angles (deg): 90.00 90.00 90.00
Atoms (fractional coordinates):
As: 0.0000 0.0000 0.0000
Cu: 0.0000 0.0000 0.5000
Cu: 0.5000 0.0000 0.0000
Cu: 0.0000 0.5000 0.0000